## CrPbS2 (GGA-PBEsol)

Data for a relaxed CrPbS2 crystal.

abc: 3.4205 3.4205 24.8000
angles: 90.00 90.00 120.00
Space group R-3m (No. 166, hexagonal axes)
Inequivalent atoms, fractional coordinates:
Cr 0.0000 0.0000 0.0000 [3 per cell]
Pb 0.0000 0.0000 0.5000 [3 per cell]
S 0.0000 0.0000 0.3846 [6 per cell]

Calculated values
For the formation energy from raw total energies, the calculation gives -209.3 kJ/mol of formula units. The total energy comes out at -6.295 eV/atom. The total moment comes out at 2.780 μB per formula unit.

---

## Li3Sb2P3O12 (GGA-PBEsol)

Data for a relaxed Li3Sb2P3O12 crystal.

abc: 13.896 9.292 8.337
angles: 90.00 116.75 90.00
Space group C2 (No. 5)
Inequivalent atoms, fractional coordinates:
Li 0.000 0.000 0.000 [2 per cell]
Li 0.000 0.272 0.500 [2 per cell]
Li 0.192 0.697 0.883 [4 per cell]
Li 0.245 0.388 0.736 [4 per cell]
Sb 0.091 0.388 0.909 [4 per cell]
Sb 0.097 0.883 0.410 [4 per cell]
P 0.000 0.555 0.500 [2 per cell]
P 0.000 0.724 0.000 [2 per cell]
P 0.166 0.058 0.842 [4 per cell]
P 0.172 0.216 0.343 [4 per cell]
O 0.061 0.023 0.846 [4 per cell]
O 0.061 0.261 0.326 [4 per cell]
O 0.065 0.636 0.927 [4 per cell]
O 0.072 0.641 0.443 [4 per cell]
O 0.079 0.449 0.654 [4 per cell]
O 0.083 0.825 0.148 [4 per cell]
O 0.174 0.007 0.676 [4 per cell]
O 0.183 0.048 0.350 [4 per cell]
O 0.187 0.227 0.858 [4 per cell]
O 0.195 0.262 0.187 [4 per cell]
O 0.241 0.493 0.979 [4 per cell]
O 0.245 0.789 0.478 [4 per cell]

Calculated values
For the offset from the most stable computed form, the calculation gives 34.4 kJ/mol of formula units. For the formation energy from raw total energies, the calculation gives -3941.6 kJ/mol of formula units. The total energy comes out at -6.812 eV/atom. The total moment comes out at 0.000 μB per formula unit.

---

## Y2ZrMn2 (GGA-PBEsol)

Data for a relaxed Y2ZrMn2 crystal.

abc: 4.174 4.174 11.779
angles: 90.00 90.00 90.00
Space group I4/mmm (No. 139)
Inequivalent atoms, fractional coordinates:
Y 0.000 0.500 0.250 [4 per cell]
Zr 0.000 0.000 0.000 [2 per cell]
Mn 0.000 0.000 0.415 [4 per cell]

Calculated values
The calculation puts the formation energy at 0.5282 eV per atom. The total energy comes out at -7.923 eV/atom. The total moment comes out at 2.605 μB per formula unit.

---

## MgZrAu2 (GGA-PBEsol)

Data for a relaxed MgZrAu2 crystal.

abc: 3.537 3.537 6.024
angles: 90.00 90.00 90.00
Space group P4mm (No. 99)
Inequivalent atoms, fractional coordinates:
Mg 0.000 0.000 0.000 [1 per cell]
Zr 0.500 0.500 0.320 [1 per cell]
Au 0.000 0.000 0.534 [1 per cell]
Au 0.500 0.500 0.818 [1 per cell]

Calculated values
The calculation puts the formation energy at -0.3912 eV per atom. The total energy comes out at -5.055 eV/atom. The total moment comes out at 0.187 μB per formula unit.

---

## KCdC2 (GGA-PBEsol)

Data for a relaxed KCdC2 crystal.

abc: 4.268 4.268 15.371
angles: 90.00 90.00 90.00
Space group I4_1/amd (No. 141, origin choice 2)
Inequivalent atoms, fractional coordinates:
K 0.000 0.250 0.375 [4 per cell]
Cd 0.000 0.250 0.875 [4 per cell]
C 0.000 0.000 0.000 [8 per cell]

Calculated values
The calculation puts the formation energy at 1.9544 eV per atom. The total energy comes out at -3.450 eV/atom. The total moment comes out at 0.001 μB per formula unit.

---

## TaOs2Ru (GGA-PBEsol)

Data for a relaxed TaOs2Ru crystal.

abc: 3.871 3.871 3.895
angles: 90.00 90.00 90.00
Space group P4/mmm (No. 123)
Inequivalent atoms, fractional coordinates:
Ta 0.000 0.000 0.000 [1 per cell]
Os 0.000 0.500 0.500 [2 per cell]
Ru 0.500 0.500 0.000 [1 per cell]

Calculated values
For the offset from the most stable computed form, the calculation gives 0.0 kJ/mol of formula units. The calculation puts the formation energy at -0.1500 eV per atom. The total energy comes out at -11.939 eV/atom. The total moment comes out at 0.000 μB per formula unit.

---

## ThSi2Tc2 (GGA-PBEsol)

Data for a relaxed ThSi2Tc2 crystal.

abc: 4.202 4.202 9.825
angles: 90.00 90.00 90.00
Space group I4/mmm (No. 139)
Inequivalent atoms, fractional coordinates:
Th 0.000 0.000 0.000 [2 per cell]
Si 0.000 0.000 0.371 [4 per cell]
Tc 0.000 0.500 0.250 [4 per cell]

Calculated values
For the formation energy from raw total energies, the calculation gives -329.1 kJ/mol of formula units. The total energy comes out at -9.109 eV/atom. The total moment comes out at 0.000 μB per formula unit.

---

## CrBi3I (GGA-PBEsol)

Data for a relaxed CrBi3I crystal.

abc: 5.845 5.845 5.845
angles: 90.00 90.00 90.00
Space group Pm-3m (No. 221)
Inequivalent atoms, fractional coordinates:
Cr 0.000 0.000 0.000 [1 per cell]
Bi 0.000 0.500 0.500 [3 per cell]
I 0.500 0.500 0.500 [1 per cell]

Calculated values
For the formation energy from raw total energies, the calculation gives 696.8 kJ/mol of formula units. The total energy comes out at -3.529 eV/atom. The total moment comes out at 3.692 μB per formula unit.

---

## Na7Zr6F31 (GGA-PBEsol)

Data for a relaxed Na7Zr6F31 crystal.

abc: 13.7379 13.7379 9.4172
angles: 90.00 90.00 120.00
Space group R3 (No. 146, hexagonal axes)
Inequivalent atoms, fractional coordinates:
Na 0.0000 0.0000 0.0000 [3 per cell]
Na 0.0295 0.4397 0.6581 [9 per cell]
Na 0.1092 0.7491 0.6737 [9 per cell]
Zr 0.0539 0.8589 0.3198 [9 per cell]
Zr 0.1810 0.0493 0.6801 [9 per cell]
F 0.0000 0.0000 0.5712 [3 per cell]
F 0.0199 0.4449 0.9233 [9 per cell]
F 0.0383 0.4284 0.4091 [9 per cell]
F 0.0381 0.9016 0.7521 [9 per cell]
F 0.0530 0.2086 0.5017 [9 per cell]
F 0.0541 0.8733 0.1050 [9 per cell]
F 0.0983 0.7300 0.9243 [9 per cell]
F 0.1101 0.7526 0.4082 [9 per cell]
F 0.1211 0.0337 0.2873 [9 per cell]
F 0.1739 0.7134 0.1722 [9 per cell]
F 0.1879 0.0567 0.8989 [9 per cell]

Calculated values
For the formation energy from raw total energies, the calculation gives -14893.5 kJ/mol of formula units. The total energy comes out at -6.328 eV/atom. The total moment comes out at 0.067 μB per formula unit.

---

## K2NaAs2 (GGA-PBEsol)

Data for a relaxed K2NaAs2 crystal.

abc: 7.748 7.748 5.005
angles: 90.00 90.00 90.00
Space group P4/mbm (No. 127)
Inequivalent atoms, fractional coordinates:
K 0.175 0.325 0.000 [4 per cell]
Na 0.000 0.000 0.500 [2 per cell]
As 0.110 0.610 0.500 [4 per cell]

Calculated values
For the offset from the most stable computed form, the calculation gives 0.0 kJ/mol of formula units. The calculation puts the formation energy at -0.3285 eV per atom. The total energy comes out at -3.104 eV/atom. The total moment comes out at 0.001 μB per formula unit.

---

## Mg4SnN4 (GGA-PBEsol)

Data for a relaxed Mg4SnN4 crystal.

abc: 5.535 5.572 8.367
angles: 71.00 83.38 68.59
Space group P-1 (No. 2)
Inequivalent atoms, fractional coordinates:
Mg 0.225 0.333 0.283 [2 per cell]
Mg 0.236 0.559 0.926 [2 per cell]
Mg 0.239 0.986 0.082 [2 per cell]
Mg 0.251 0.745 0.501 [2 per cell]
Sn 0.230 0.117 0.718 [2 per cell]
N 0.002 0.093 0.304 [2 per cell]
N 0.006 0.311 0.885 [2 per cell]
N 0.347 0.340 0.503 [2 per cell]
N 0.498 0.800 0.898 [2 per cell]

Calculated values
For the formation energy from raw total energies, the calculation gives -543.2 kJ/mol of formula units. The total energy comes out at -5.652 eV/atom. The total moment comes out at 0.000 μB per formula unit.

---

## LiZrAg2Te (GGA-PBEsol)

Data for a relaxed LiZrAg2Te crystal.

abc: 5.137 5.137 5.321
angles: 90.00 90.00 90.00
Space group P4/mmm (No. 123)
Inequivalent atoms, fractional coordinates:
Li 0.000 0.000 0.000 [1 per cell]
Zr 0.500 0.500 0.000 [1 per cell]
Ag 0.000 0.500 0.500 [2 per cell]
Te 0.500 0.500 0.500 [1 per cell]

Calculated values
For the formation energy from raw total energies, the calculation gives 282.6 kJ/mol of formula units. The total energy comes out at -3.655 eV/atom. The total moment comes out at 0.001 μB per formula unit.

---

## CsBi2P2 (GGA-PBEsol)

Data for a relaxed CsBi2P2 crystal.

abc: 4.709 4.709 12.975
angles: 90.00 90.00 90.00
Space group I4/mmm (No. 139)
Inequivalent atoms, fractional coordinates:
Cs 0.000 0.000 0.000 [2 per cell]
Bi 0.000 0.500 0.250 [4 per cell]
P 0.000 0.000 0.420 [4 per cell]

Calculated values
For the offset from the most stable computed form, the calculation gives 48.9 kJ/mol of formula units. The calculation puts the formation energy at 0.0084 eV per atom. The total energy comes out at -4.211 eV/atom. The total moment comes out at 0.000 μB per formula unit.

---

## TmSeClO3 (GGA-PBEsol)

Data for a relaxed TmSeClO3 crystal.

abc: 7.074 6.827 8.673
angles: 90.00 90.00 90.00
Space group Pnma (No. 62)
Inequivalent atoms, fractional coordinates:
Tm 0.100 0.250 0.040 [4 per cell]
Se 0.203 0.250 0.633 [4 per cell]
Cl 0.059 0.750 0.681 [4 per cell]
O 0.143 0.571 0.066 [8 per cell]
O 0.250 0.250 0.824 [4 per cell]

Calculated values
For the formation energy from raw total energies, the calculation gives -1194.6 kJ/mol of formula units. The total energy comes out at -6.481 eV/atom. The total moment comes out at 0.000 μB per formula unit.

---

## BaCo2As (GGA-PBEsol)

Data for a relaxed BaCo2As crystal.

abc: 3.949 6.024 7.510
angles: 90.00 90.00 90.00
Space group Imm2 (No. 44)
Inequivalent atoms, fractional coordinates:
Ba 0.000 0.000 0.000 [2 per cell]
Co 0.000 0.000 0.490 [2 per cell]
Co 0.000 0.500 0.137 [2 per cell]
As 0.000 0.500 0.827 [2 per cell]

Calculated values
The calculation puts the formation energy at 0.2414 eV per atom. The total energy comes out at -5.441 eV/atom. The total moment comes out at 2.795 μB per formula unit.

---

## CrPtBr4 (GGA-PBEsol)

Data for a relaxed CrPtBr4 crystal.

abc: 8.285 8.285 8.285
angles: 90.00 90.00 90.00
Space group F-43m (No. 216)
Inequivalent atoms, fractional coordinates:
Cr 0.000 0.000 0.000 [4 per cell]
Pt 0.250 0.250 0.750 [4 per cell]
Br 0.125 0.125 0.375 [16 per cell]

Calculated values
For the formation energy from raw total energies, the calculation gives 739.5 kJ/mol of formula units. The total energy comes out at -2.837 eV/atom. The total moment comes out at 4.674 μB per formula unit.

---

## MoCl2F (GGA-PBEsol)

Data for a relaxed MoCl2F crystal.

abc: 6.095 6.095 6.095
angles: 90.00 90.00 90.00
Space group Fm-3m (No. 225)
Inequivalent atoms, fractional coordinates:
Mo 0.000 0.000 0.000 [4 per cell]
Cl 0.250 0.250 0.250 [8 per cell]
F 0.000 0.000 0.500 [4 per cell]

Calculated values
For the offset from the most stable computed form, the calculation gives 257.3 kJ/mol of formula units. For the formation energy from raw total energies, the calculation gives -153.0 kJ/mol of formula units. The total energy comes out at -4.824 eV/atom. The total moment comes out at 2.832 μB per formula unit.

---

## MnNi7O8 (GGA-PBEsol)

Data for a relaxed MnNi7O8 crystal.

abc: 8.251 8.251 8.251
angles: 90.00 90.00 90.00
Space group Fm-3m (No. 225)
Inequivalent atoms, fractional coordinates:
Mn 0.000 0.000 0.000 [4 per cell]
Ni 0.000 0.000 0.500 [4 per cell]
Ni 0.000 0.250 0.250 [24 per cell]
O 0.000 0.000 0.253 [24 per cell]
O 0.250 0.250 0.250 [8 per cell]

Calculated values
For the formation energy from raw total energies, the calculation gives -897.8 kJ/mol of formula units. The total energy comes out at -6.510 eV/atom. The total moment comes out at 8.838 μB per formula unit.

---

## NbGeB2I (GGA-PBEsol)

Data for a relaxed NbGeB2I crystal.

abc: 4.241 4.241 5.318
angles: 90.00 90.00 90.00
Space group P4/mmm (No. 123)
Inequivalent atoms, fractional coordinates:
Nb 0.000 0.000 0.000 [1 per cell]
Ge 0.500 0.500 0.000 [1 per cell]
B 0.000 0.500 0.500 [2 per cell]
I 0.500 0.500 0.500 [1 per cell]

Calculated values
For the formation energy from raw total energies, the calculation gives 1154.5 kJ/mol of formula units. The total energy comes out at -3.919 eV/atom. The total moment comes out at 1.547 μB per formula unit.

---

## Al7Ag (GGA-PBEsol)

Data for a relaxed Al7Ag crystal.

abc: 4.926 4.929 5.713
angles: 89.62 72.61 79.85
Space group P-1 (No. 2)
Inequivalent atoms, fractional coordinates:
Al 0.000 0.000 0.000 [1 per cell]
Al 0.002 0.500 0.752 [2 per cell]
Al 0.497 0.748 0.126 [2 per cell]
Al 0.500 0.250 0.374 [2 per cell]
Ag 0.000 0.000 0.500 [1 per cell]

Calculated values
For the offset from the most stable computed form, the calculation gives 15.2 kJ/mol of formula units. The calculation puts the formation energy at 0.0012 eV per atom. The total energy comes out at -3.993 eV/atom. The total moment comes out at 0.000 μB per formula unit.